Below is a relaxed structure of Ta2MoC, with properties calculated at the PBE level.

Formation energy in meV/atom: 390
Energy in eV/atom: -10.55

Geometry as CIF:
```
data_Ta2MoC
_chemical_formula_sum 'Ta2 Mo1 C1'
_cell_length_a 3.148
_cell_length_b 3.148
_cell_length_c 6.452
_cell_angle_alpha 90.00
_cell_angle_beta 90.00
_cell_angle_gamma 90.00
_symmetry_space_group_name_H-M 'P 4 m m'
_symmetry_Int_Tables_number 99
_symmetry_space_group_name_Hall 'P 4 -2'
loop_
_atom_site_label
_atom_site_type_symbol
_atom_site_fract_x
_atom_site_fract_y
_atom_site_fract_z
Ta1 Ta 0.000 0.000 0.000
Ta2 Ta 0.500 0.500 0.360
Mo1 Mo 0.500 0.500 0.780
C1 C 0.000 0.000 0.342
```